(1)
CsInPb | meta-GGA SCAN | PBEsol geometry

Values from the calculation:
- energy of formation (eV per atom) = -0.334
- spin magnetization (μB/atom) = 0.000
- DOS(E_F) (states/eV/f.u.) = 0.80

a b c (Å): 4.997 4.997 9.095
angles (deg): 90.00 90.00 90.00
Space group P4/nmm (No. 129, origin choice 2)
Symmetry-distinct sites (fractional):
Cs (0.250, 0.250, 0.161) (multiplicity 2)
In (0.250, 0.750, 0.500) (multiplicity 2)
Pb (0.250, 0.250, 0.700) (multiplicity 2)


(2)
CsInPd3 | meta-GGA SCAN | PBEsol geometry

Values from the calculation:
- energy of formation (eV per atom) = 1.295
- spin magnetization (μB/atom) = 0.000
- DOS(E_F) (states/eV/f.u.) = 1.61

a b c (Å): 5.166 5.166 5.166
angles (deg): 90.00 90.00 90.00
Space group Pm-3m (No. 221)
Symmetry-distinct sites (fractional):
Cs (0.000, 0.000, 0.000) (multiplicity 1)
In (0.500, 0.500, 0.500) (multiplicity 1)
Pd (0.000, 0.000, 0.500) (multiplicity 3)